Computed, not measured: a relaxed NaAl2H crystal at the PBE level of DFT.

Lattice parameters (Å, degrees): 6.604 6.604 6.604 90.00 90.00 90.00
Space group Fm-3m (No. 225)
Symmetry-distinct sites (fractional):
1 Na 0.000 0.000 0.000 [4 per cell]
2 Al 0.250 0.250 0.250 [8 per cell]
3 H 0.000 0.000 0.500 [4 per cell]

Properties
Magnetization in μB per formula unit: 0.00
Energy above the most stable polymorph in this dataset in kJ/mol of atoms: 47.15

Computed, not measured: a relaxed NaAlH2 crystal at the PBE level of DFT.

Lattice parameters (Å, degrees): 5.835 5.835 5.835 90.00 90.00 90.00
Space group Fm-3m (No. 225)
Symmetry-distinct sites (fractional):
1 Na 0.000 0.000 0.000 [4 per cell]
2 Al 0.000 0.000 0.500 [4 per cell]
3 H 0.250 0.250 0.250 [8 per cell]

Properties
Magnetization in μB per formula unit: 0.00
Energy above the most stable polymorph in this dataset in kJ/mol of atoms: 54.93

Computed, not measured: a relaxed Na2AlH6 crystal at the PBE level of DFT.

Lattice parameters (Å, degrees): 4.704 4.704 9.627 90.00 90.00 90.00
Space group P4_2/mnm (No. 136)
Symmetry-distinct sites (fractional):
1 Na 0.000 0.000 0.168 [4 per cell]
2 Al 0.000 0.000 0.500 [2 per cell]
3 H 0.180 0.180 0.370 [8 per cell]
4 H 0.241 0.241 0.000 [4 per cell]

Properties
Magnetization in μB per formula unit: 1.02
Energy above the most stable polymorph in this dataset in kJ/mol of atoms: 3.16